{"formula": "YHfCdHg", "functional": "PBE-GGA", "state": "relaxed", "dos_at_fermi_per_ev_atom": 0.81, "dft_energy_ev_per_atom": -4.531, "formation_enthalpy_0k_kj_per_mol_atoms": -11.8, "lattice_angstrom": [[7.221, 0.000, 0.000], [0.000, 7.221, 0.000], [0.000, 0.000, 7.221]], "species": ["Y", "Y", "Y", "Y", "Hf", "Hf", "Hf", "Hf", "Cd", "Cd", "Cd", "Cd", "Hg", "Hg", "Hg", "Hg"], "fractional_positions": [[0.000, 0.000, 0.000], [0.000, 0.500, 0.500], [0.500, 0.000, 0.500], [0.500, 0.500, 0.000], [0.000, 0.000, 0.500], [0.000, 0.500, 0.000], [0.500, 0.000, 0.000], [0.500, 0.500, 0.500], [0.250, 0.250, 0.250], [0.250, 0.750, 0.750], [0.750, 0.250, 0.750], [0.750, 0.750, 0.250], [0.250, 0.250, 0.750], [0.250, 0.750, 0.250], [0.750, 0.250, 0.250], [0.750, 0.750, 0.750]]}